Entry 1:
Material: Sr2CdCo
Method: DFT, PBE
State: optimized geometry

Results
Energy = -10.5 eV/cell
Crystal system = tetragonal

Geometry as CIF:
```
data_Sr2CdCo
_symmetry_space_group_name_H-M 'P 4 m m'
_symmetry_Int_Tables_number 99
_cell_length_a 3.7168
_cell_length_b 3.7168
_cell_length_c 8.7695
_cell_angle_alpha 90.00
_cell_angle_beta 90.00
_cell_angle_gamma 90.00
loop_
_symmetry_equiv_pos_as_xyz
'x,y,z'
'-y,x,z'
'-x,-y,z'
'y,-x,z'
'-x,y,z'
'y,x,z'
'x,-y,z'
'-y,-x,z'
loop_
_atom_site_label
_atom_site_type_symbol
_atom_site_fract_x
_atom_site_fract_y
_atom_site_fract_z
_atom_site_occupancy
Sr1 Sr 0.0000 0.0000 0.0000 1
Sr2 Sr 0.5000 0.5000 0.4003 1
Cd1 Cd 0.0000 0.0000 0.6479 1
Co1 Co 0.5000 0.5000 0.7583 1
```

Entry 2:
Material: SrCd2Co
Method: DFT, PBE
State: optimized geometry

Results
Energy = -17.7 eV/cell
Crystal system = orthorhombic

Geometry as CIF:
```
data_SrCd2Co
_symmetry_space_group_name_H-M 'C m m m'
_symmetry_Int_Tables_number 65
_symmetry_space_group_name_Hall '-C 2 2'
_cell_length_a 6.0126
_cell_length_b 9.7931
_cell_length_c 3.2007
_cell_angle_alpha 90.00
_cell_angle_beta 90.00
_cell_angle_gamma 90.00
loop_
_atom_site_label
_atom_site_type_symbol
_atom_site_fract_x
_atom_site_fract_y
_atom_site_fract_z
_atom_site_occupancy
Sr1 Sr 0.0000 0.0000 0.0000 1
Cd1 Cd 0.2500 0.2500 0.5000 1
Co1 Co 0.0000 0.5000 0.0000 1
```

Entry 3:
Material: SrCd2Co
Method: DFT, PBE
State: optimized geometry

Results
Energy = -19.9 eV/cell
Crystal system = orthorhombic

Geometry as CIF:
```
data_SrCd2Co
_symmetry_space_group_name_H-M 'I m m m'
_symmetry_Int_Tables_number 71
_symmetry_space_group_name_Hall '-I 2 2'
_cell_length_a 3.4316
_cell_length_b 5.1081
_cell_length_c 10.4918
_cell_angle_alpha 90.00
_cell_angle_beta 90.00
_cell_angle_gamma 90.00
loop_
_atom_site_label
_atom_site_type_symbol
_atom_site_fract_x
_atom_site_fract_y
_atom_site_fract_z
_atom_site_occupancy
Sr1 Sr 0.0000 0.0000 0.0000 1
Cd1 Cd 0.0000 0.5000 0.2012 1
Co1 Co 0.0000 0.0000 0.5000 1
```

Question: Which value of energy does entry 3 give?
Answer: -19.9 eV/cell

Question: Which of these has the highest energy?
Answer: Sr2CdCo